A plane-wave DFT calculation with GGA-PBE was carried out for crystalline Zn2SnSb at its relaxed geometry.

Cell: 7.0791 7.0791 7.0791 Å, 90.00 90.00 90.00°
Last column: nearest neighbours and their distance in Å.
Space group Fm-3m (No. 225)
One atom of each set of equivalent atoms:
Zn  0.2500  0.2500  0.2500 (multiplicity 8)  4 Sn 3.07, 4 Sb 3.07
Sn  0.0000  0.0000  0.0000 (multiplicity 4)  8 Zn 3.07
Sb  0.0000  0.0000  0.5000 (multiplicity 4)  8 Zn 3.07

Output
M_tot = 0.0 μB per formula unit
polymorph energy (0 for the lowest one) = 0.345 eV per formula unit


A plane-wave DFT calculation with GGA-PBE was carried out for crystalline Zn2Sn2Sb at its relaxed geometry.

Cell: 8.5914 8.5914 3.2301 Å, 90.00 90.00 90.00°
Last column: nearest neighbours and their distance in Å.
Space group P4/mbm (No. 127)
One atom of each set of equivalent atoms:
Zn  0.1092  0.3908  0.0000 (multiplicity 4)  1 Zn 2.65, 2 Sn 2.93
Sn  0.1892  0.6892  0.5000 (multiplicity 4)  6 Zn 2.93-3.11, 2 Sb 3.13, 2 Sn 3.23
Sb  0.0000  0.0000  0.5000 (multiplicity 2)  4 Sn 3.13, 2 Sb 3.23

Output
M_tot = 0.0 μB per formula unit
polymorph energy (0 for the lowest one) = 0.091 eV per formula unit


A plane-wave DFT calculation with GGA-PBE was carried out for crystalline Zn4SnSb at its relaxed geometry.

Cell: 7.8001 7.8001 7.8001 Å, 90.00 90.00 90.00°
Last column: nearest neighbours and their distance in Å.
Space group F-43m (No. 216)
One atom of each set of equivalent atoms:
Zn  0.1252  0.1252  0.1252 (multiplicity 16)  6 Zn 2.75-2.76
Sn  0.0000  0.0000  0.5000 (multiplicity 4)  12 Zn 3.23, 4 Sb 3.38
Sb  0.2500  0.2500  0.7500 (multiplicity 4)  12 Zn 3.23, 4 Sn 3.38

Output
M_tot = 0.0 μB per formula unit


A plane-wave DFT calculation with GGA-PBE was carried out for crystalline ZnSn4Sb5 at its relaxed geometry.

Cell: 4.4726 4.4726 63.3763 Å, 90.00 90.00 120.00°
Last column: nearest neighbours and their distance in Å.
Space group R3m (No. 160, hexagonal axes)
One atom of each set of equivalent atoms:
Zn  0.0000  0.0000  0.0000 (multiplicity 3)  4 Sb 2.62-2.80
Sn  0.0000  0.0000  0.2073 (multiplicity 3)  3 Sb 2.92
Sn  0.0000  0.0000  0.3982 (multiplicity 3)  4 Sb 2.90-2.93
Sn  0.0000  0.0000  0.6145 (multiplicity 3)  4 Sb 2.86-2.90
Sn  0.0000  0.0000  0.7999 (multiplicity 3)  3 Sb 2.94
Sb  0.0000  0.0000  0.0441 (multiplicity 3)  1 Zn 2.80, 3 Sn 2.90
Sb  0.0000  0.0000  0.2603 (multiplicity 3)  3 Sn 2.90
Sb  0.0000  0.0000  0.4444 (multiplicity 3)  4 Sn 2.93-2.94
Sb  0.0000  0.0000  0.6595 (multiplicity 3)  3 Zn 2.62, 1 Sn 2.86
Sb  0.0000  0.0000  0.8526 (multiplicity 3)  3 Sn 2.92

Output
M_tot = 0.0 μB per formula unit


A plane-wave DFT calculation with GGA-PBE was carried out for crystalline Zn2Sn2Sb at its relaxed geometry.

Cell: 3.8673 3.8673 16.0624 Å, 90.00 90.00 90.00°
Last column: nearest neighbours and their distance in Å.
Space group I4/mmm (No. 139)
One atom of each set of equivalent atoms:
Zn  0.0000  0.5000  0.2500 (multiplicity 4)  4 Zn 2.73, 4 Sn 2.99
Sn  0.0000  0.0000  0.1079 (multiplicity 4)  4 Zn 2.99, 4 Sb 3.24
Sb  0.0000  0.0000  0.5000 (multiplicity 2)  8 Sn 3.24

Output
M_tot = 0.0 μB per formula unit
polymorph energy (0 for the lowest one) = 0.109 eV per formula unit


A plane-wave DFT calculation with GGA-PBE was carried out for crystalline ZnSn3Sb4 at its relaxed geometry.

Cell: 4.4786 4.4786 51.0312 Å, 90.00 90.00 120.00°
Last column: nearest neighbours and their distance in Å.
Space group R3m (No. 160, hexagonal axes)
One atom of each set of equivalent atoms:
Zn  0.0000  0.0000  0.0000 (multiplicity 3)  4 Sb 2.63-2.81
Sn  0.0000  0.0000  0.2683 (multiplicity 3)  4 Sb 2.85-2.90
Sn  0.0000  0.0000  0.4978 (multiplicity 3)  3 Sb 2.94
Sn  0.0000  0.0000  0.7473 (multiplicity 3)  4 Sb 2.88-2.89
Sb  0.0000  0.0000  0.0552 (multiplicity 3)  1 Zn 2.81, 3 Sn 2.89
Sb  0.0000  0.0000  0.3242 (multiplicity 3)  3 Zn 2.63, 1 Sn 2.85
Sb  0.0000  0.0000  0.5758 (multiplicity 3)  3 Sn 2.90
Sb  0.0000  0.0000  0.8037 (multiplicity 3)  4 Sn 2.88-2.94

Output
M_tot = 0.0 μB per formula unit


A plane-wave DFT calculation with GGA-PBE was carried out for crystalline Zn2SnSb at its relaxed geometry.

Cell: 4.6415 4.6415 4.1278 Å, 90.00 90.00 90.00°
Last column: nearest neighbours and their distance in Å.
Space group P4/mmm (No. 123)
One atom of each set of equivalent atoms:
Zn  0.0000  0.5000  0.0000 (multiplicity 2)  4 Sn 3.11, 4 Sb 3.11, 4 Zn 3.28
Sn  0.0000  0.0000  0.5000 (multiplicity 1)  8 Zn 3.11, 4 Sb 3.28
Sb  0.5000  0.5000  0.5000 (multiplicity 1)  8 Zn 3.11, 4 Sn 3.28

Output
M_tot = 0.0 μB per formula unit
polymorph energy (0 for the lowest one) = 0.319 eV per formula unit


A plane-wave DFT calculation with GGA-PBE was carried out for crystalline Zn3SnSb4 at its relaxed geometry.

Cell: 5.9520 5.9520 5.9520 Å, 90.00 90.00 90.00°
Last column: nearest neighbours and their distance in Å.
Space group P-43m (No. 215)
One atom of each set of equivalent atoms:
Zn  0.0000  0.0000  0.5000 (multiplicity 3)  4 Sb 2.77, 2 Sn 2.98
Sn  0.0000  0.0000  0.0000 (multiplicity 1)  6 Zn 2.98, 4 Sb 3.05
Sb  0.2959  0.2959  0.2959 (multiplicity 4)  3 Zn 2.77, 1 Sn 3.05

Output
M_tot = 0.0 μB per formula unit


A plane-wave DFT calculation with GGA-PBE was carried out for crystalline Zn5Sn12Sb3 at its relaxed geometry.

Cell: 16.8609 16.8609 16.8609 Å, 90.00 90.00 90.00°
Last column: nearest neighbours and their distance in Å.
Space group Ia-3d (No. 230)
One atom of each set of equivalent atoms:
Zn  0.0000  0.0000  0.0000 (multiplicity 16)  6 Sn 2.76
Zn  0.0000  0.2500  0.3750 (multiplicity 24)  4 Sn 2.74
Sn  0.0206  0.0690  0.6468 (multiplicity 96)  2 Zn 2.74-2.76
Sb  0.0000  0.2500  0.1250 (multiplicity 24)  8 Sn 3.09-3.23

Output
M_tot = 0.0 μB per formula unit


A plane-wave DFT calculation with GGA-PBE was carried out for crystalline ZnSnSb3 at its relaxed geometry.

Cell: 5.2619 5.2619 5.2619 Å, 90.00 90.00 90.00°
Last column: nearest neighbours and their distance in Å.
Space group Pm-3m (No. 221)
One atom of each set of equivalent atoms:
Zn  0.0000  0.0000  0.0000 (multiplicity 1)  6 Sb 2.63
Sn  0.5000  0.5000  0.5000 (multiplicity 1)  12 Sb 3.72
Sb  0.0000  0.0000  0.5000 (multiplicity 3)  2 Zn 2.63

Output
M_tot = 0.0 μB per formula unit
polymorph energy (0 for the lowest one) = 0.000 eV per formula unit


A plane-wave DFT calculation with GGA-PBE was carried out for crystalline Zn2Sn2Sb at its relaxed geometry.

Cell: 4.4921 4.4921 11.9688 Å, 90.00 90.00 90.00°
Last column: nearest neighbours and their distance in Å.
Space group I4/mmm (No. 139)
One atom of each set of equivalent atoms:
Zn  0.0000  0.0000  0.0999 (multiplicity 4)  1 Zn 2.39
Sn  0.0000  0.5000  0.2500 (multiplicity 4)  4 Zn 2.88, 4 Sn 3.18
Sb  0.0000  0.0000  0.5000 (multiplicity 2)  8 Zn 3.39, 8 Sn 3.74

Output
M_tot = 0.0 μB per formula unit
polymorph energy (0 for the lowest one) = 0.510 eV per formula unit


A plane-wave DFT calculation with GGA-PBE was carried out for crystalline Zn2Sn2Sb at its relaxed geometry.

Cell: 7.4842 7.4842 4.1573 Å, 90.00 90.00 90.00°
Last column: nearest neighbours and their distance in Å.
Space group P4/mbm (No. 127)
One atom of each set of equivalent atoms:
Zn  0.1214  0.3786  0.0000 (multiplicity 4)  1 Zn 2.57
Sn  0.1811  0.6811  0.5000 (multiplicity 4)  6 Zn 2.95-3.11
Sb  0.0000  0.0000  0.0000 (multiplicity 2)  4 Zn 2.98

Output
M_tot = 0.0 μB per formula unit
polymorph energy (0 for the lowest one) = 0.000 eV per formula unit


A plane-wave DFT calculation with GGA-PBE was carried out for crystalline Zn2SnSb at its relaxed geometry.

Cell: 6.5802 6.5802 10.5404 Å, 90.00 90.00 90.00°
Last column: nearest neighbours and their distance in Å.
Space group I-42d (No. 122)
One atom of each set of equivalent atoms:
Zn  0.2384  0.2500  0.1250 (multiplicity 8)  2 Sb 2.63, 2 Sn 2.72
Sn  0.0000  0.0000  0.5000 (multiplicity 4)  4 Zn 2.72
Sb  0.0000  0.0000  0.0000 (multiplicity 4)  4 Zn 2.63

Output
M_tot = 0.0 μB per formula unit
polymorph energy (0 for the lowest one) = 0.547 eV per formula unit


A plane-wave DFT calculation with GGA-PBE was carried out for crystalline Zr4SnSb at its relaxed geometry.

Cell: 10.4546 3.1208 9.6021 Å, 90.00 114.88 90.00°
Last column: nearest neighbours and their distance in Å.
Space group C2/m (No. 12)
One atom of each set of equivalent atoms:
Zr  0.1614  0.0000  0.3508 (multiplicity 4)  3 Sb 3.06-3.21, 1 Sn 3.07, 5 Zr 3.10-3.14
Zr  0.1660  0.5000  0.8492 (multiplicity 4)  1 Sb 3.06, 5 Zr 3.10-3.14, 3 Sn 3.11-3.17
Sn  0.0000  0.0000  0.0000 (multiplicity 2)  8 Zr 3.07-3.17, 2 Sn 3.12
Sb  0.0000  0.5000  0.5000 (multiplicity 2)  8 Zr 3.06-3.21, 2 Sb 3.12

Output
M_tot = 0.0 μB per formula unit
polymorph energy (0 for the lowest one) = 1.805 eV per formula unit


A plane-wave DFT calculation with GGA-PBE was carried out for crystalline Zr6Sn3Sb at its relaxed geometry.

Cell: 7.2423 7.6384 11.4025 Å, 90.00 129.18 90.00°
Last column: nearest neighbours and their distance in Å.
Space group P2_1/c (No. 14)
One atom of each set of equivalent atoms:
Zr  0.0148  0.0906  0.2490 (multiplicity 4)  3 Sn 2.92-3.12, 1 Sb 3.01, 1 Zr 3.26
Zr  0.1935  0.1583  0.0529 (multiplicity 4)  1 Sb 2.84, 4 Sn 2.91-3.12
Zr  0.4049  0.6577  0.0529 (multiplicity 4)  1 Sb 2.86, 4 Sn 2.86-3.08
Sn  0.3258  0.6572  0.7535 (multiplicity 4)  8 Zr 2.92-3.12
Sn  0.5000  0.0000  0.0000 (multiplicity 2)  6 Zr 2.86-3.01
Sb  0.0000  0.0000  0.5000 (multiplicity 2)  6 Zr 2.84-3.01

Output
M_tot = 0.0 μB per formula unit


A plane-wave DFT calculation with GGA-PBE was carried out for crystalline ZrSn3Sb at its relaxed geometry.

Cell: 5.5711 5.5711 5.5711 Å, 90.00 90.00 90.00°
Last column: nearest neighbours and their distance in Å.
Space group Pm-3m (No. 221)
One atom of each set of equivalent atoms:
Zr  0.0000  0.0000  0.0000 (multiplicity 1)  6 Sn 2.79
Sn  0.0000  0.0000  0.5000 (multiplicity 3)  2 Zr 2.79
Sb  0.5000  0.5000  0.5000 (multiplicity 1)  12 Sn 3.94

Output
M_tot = 0.0 μB per formula unit
polymorph energy (0 for the lowest one) = 0.000 eV per formula unit


A plane-wave DFT calculation with GGA-PBE was carried out for crystalline Zr6SnSb5 at its relaxed geometry.

Cell: 7.1729 12.4267 7.1703 Å, 90.00 109.56 90.00°
Last column: nearest neighbours and their distance in Å.
Space group C2/m (No. 12)
One atom of each set of equivalent atoms:
Zr  0.2495  0.0000  0.2479 (multiplicity 4)  1 Sn 2.92, 5 Sb 2.92-2.94
Zr  0.2504  0.1664  0.7504 (multiplicity 8)  1 Sn 2.92, 5 Sb 2.92-2.93
Sn  0.0000  0.5000  0.0000 (multiplicity 2)  6 Zr 2.92
Sb  0.0000  0.0000  0.5000 (multiplicity 2)  6 Zr 2.93-2.94
Sb  0.0000  0.1671  0.0000 (multiplicity 4)  6 Zr 2.92-2.93
Sb  0.0000  0.3336  0.5000 (multiplicity 4)  6 Zr 2.93

Output
M_tot = 0.0 μB per formula unit


A plane-wave DFT calculation with GGA-PBE was carried out for crystalline ZrSnSb2 at its relaxed geometry.

Cell: 3.9959 3.9959 24.1965 Å, 90.00 90.00 120.00°
Last column: nearest neighbours and their distance in Å.
Space group R3m (No. 160, hexagonal axes)
One atom of each set of equivalent atoms:
Zr  0.0000  0.0000  0.0000 (multiplicity 3)  6 Sb 2.94-2.97
Sn  0.0000  0.0000  0.1631 (multiplicity 3)  6 Sb 3.10-3.26
Sb  0.0000  0.0000  0.4107 (multiplicity 3)  3 Zr 2.97, 3 Sn 3.10
Sb  0.0000  0.0000  0.5916 (multiplicity 3)  3 Zr 2.94, 3 Sn 3.26

Output
M_tot = 0.0 μB per formula unit


A plane-wave DFT calculation with GGA-PBE was carried out for crystalline ZrSnSb3 at its relaxed geometry.

Cell: 5.5482 5.5482 5.5482 Å, 90.00 90.00 90.00°
Last column: nearest neighbours and their distance in Å.
Space group Pm-3m (No. 221)
One atom of each set of equivalent atoms:
Zr  0.0000  0.0000  0.0000 (multiplicity 1)  6 Sb 2.77
Sn  0.5000  0.5000  0.5000 (multiplicity 1)  12 Sb 3.92
Sb  0.0000  0.0000  0.5000 (multiplicity 3)  2 Zr 2.77

Output
M_tot = 0.0 μB per formula unit
polymorph energy (0 for the lowest one) = 0.000 eV per formula unit


A plane-wave DFT calculation with GGA-PBE was carried out for crystalline Zr8SnSb2 at its relaxed geometry.

Cell: 7.8600 13.2547 5.4371 Å, 90.00 113.06 90.00°
Last column: nearest neighbours and their distance in Å.
Space group C2/m (No. 12)
One atom of each set of equivalent atoms:
Zr  0.0000  0.2276  0.0000 (multiplicity 4)  2 Sb 2.91, 1 Sn 3.02, 2 Zr 3.21
Zr  0.0925  0.5000  0.8042 (multiplicity 4)  1 Sn 2.95, 2 Sb 3.00, 6 Zr 3.01-3.21
Zr  0.2010  0.1120  0.6367 (multiplicity 8)  5 Zr 2.92-3.21, 2 Sb 2.94-2.95
Sn  0.0000  0.0000  0.0000 (multiplicity 2)  4 Zr 2.95-3.02
Sb  0.0000  0.3055  0.5000 (multiplicity 4)  8 Zr 2.91-3.00

Output
M_tot = 0.0 μB per formula unit


A plane-wave DFT calculation with GGA-PBE was carried out for crystalline Zr10Sn3Sb3 at its relaxed geometry.

Cell: 8.5239 8.5239 5.7983 Å, 90.00 90.00 120.00°
Last column: nearest neighbours and their distance in Å.
Space group P-62m (No. 189)
One atom of each set of equivalent atoms:
Zr  0.0000  0.2479  0.0000 (multiplicity 3)  3 Sb 2.92-3.08, 2 Sn 3.14
Zr  0.0000  0.7473  0.5000 (multiplicity 3)  3 Sn 2.91-3.06, 2 Sb 3.13
Zr  0.3333  0.6667  0.2508 (multiplicity 4)  2 Zr 2.89-2.91, 3 Sb 3.01, 3 Sn 3.01
Sn  0.0000  0.3885  0.5000 (multiplicity 3)  9 Zr 2.91-3.14
Sb  0.0000  0.6093  0.0000 (multiplicity 3)  9 Zr 2.92-3.13

Output
M_tot = 0.0 μB per formula unit


In the order shown, the computed ρ values come out to 6.952, 6.825, 7.028, 5.214, 6.774, 5.106, 6.933, 6.316, 5.867, 6.262, 6.738, 6.988, 5.404, 7.074, 6.963, 5.465, 7.030, 6.751, 5.593, 6.959, 7.435 g/cm³.
In the order shown, the computed formation energy from raw total energies values come out to 181, 131, 165, 63, 135, 38, 175, 101, 231, 465, 215, 113, 232, -99, -296, 493, -518, -202, 276, -269, -625 meV/atom.
In the order shown, the computed E_tot values come out to -2.49, -2.80, -2.04, -3.73, -2.80, -3.68, -2.49, -2.94, -3.11, -3.06, -2.72, -2.82, -2.44, -7.15, -7.04, -4.44, -6.84, -5.40, -4.71, -7.60, -7.49 eV per atom.